6
Lattice="4.275 0.000 0.000 -2.137 3.702 0.000 0.000 0.000 10.464" Properties=species:S:1:pos:R:3 comment="PBE-GGA Pr2SmAs3, relaxed" crystal_system=trigonal m_tot_mub_per_atom=0.00 spacegroup="No. 164" final_energy_ev_per_atom=-6.213 pbc="T T T"
Pr 0.000 2.468 8.696
Pr 2.137 1.234 1.768
Sm 0.000 0.000 5.232
As 0.000 2.468 3.538
As 2.137 1.234 6.926
As 0.000 0.000 0.000

***

6
Lattice="4.245 0.000 0.000 -2.122 3.676 0.000 0.000 0.000 10.387" Properties=species:S:1:pos:R:3 comment="PBE-GGA PrSm2As3, relaxed" crystal_system=trigonal m_tot_mub_per_atom=0.00 spacegroup="No. 164" final_energy_ev_per_atom=-6.212 pbc="T T T"
As 0.000 2.451 3.413
As 0.000 0.000 0.000
As 2.122 1.225 6.974
Pr 0.000 0.000 5.194
Sm 0.000 2.451 8.677
Sm 2.122 1.225 1.710

***

3
Lattice="0.000 3.631 3.631 3.631 0.000 3.631 3.631 3.631 0.000" Properties=species:S:1:pos:R:3 comment="PBE-GGA SrPrAs, relaxed" crystal_system=cubic m_tot_mub_per_atom=0.00 spacegroup="No. 216" final_energy_ev_per_atom=-4.440 pbc="T T T"
As 0.000 0.000 0.000
Sr 5.447 5.447 5.447
Pr 1.816 1.816 1.816

***

6
Lattice="4.248 0.000 0.000 -2.124 3.679 0.000 0.000 0.000 10.404" Properties=species:S:1:pos:R:3 comment="PBE-GGA TbPr2As3, relaxed" crystal_system=trigonal m_tot_mub_per_atom=0.00 spacegroup="No. 164" final_energy_ev_per_atom=-6.198 pbc="T T T"
As 0.000 2.453 3.559
As 2.124 1.226 6.845
As 0.000 0.000 0.000
Pr 2.124 1.226 1.778
Pr 0.000 2.453 8.626
Tb 0.000 0.000 5.202

***

6
Lattice="4.192 0.000 0.000 -2.096 3.630 0.000 0.000 0.000 10.260" Properties=species:S:1:pos:R:3 comment="PBE-GGA Tb2PrAs3, relaxed" crystal_system=trigonal m_tot_mub_per_atom=0.00 spacegroup="No. 164" final_energy_ev_per_atom=-6.186 pbc="T T T"
As 2.096 1.210 6.931
As 0.000 2.420 3.329
As 0.000 0.000 0.000
Tb 2.096 1.210 1.668
Tb 0.000 2.420 8.592
Pr 0.000 0.000 5.130

***

6
Lattice="4.140 0.000 0.000 0.000 4.140 0.000 0.000 0.000 9.272" Properties=species:S:1:pos:R:3 comment="PBE-GGA TbPrTe2As2, relaxed" crystal_system=tetragonal m_tot_mub_per_atom=0.00 spacegroup="No. 99" final_energy_ev_per_atom=-5.324 pbc="T T T"
As 0.000 2.070 0.060
As 2.070 0.000 0.060
Te 0.000 0.000 3.427
Te 2.070 2.070 5.718
Tb 2.070 2.070 2.358
Pr 0.000 0.000 6.921

***

3
Lattice="0.000 3.279 3.279 3.279 0.000 3.279 3.279 3.279 0.000" Properties=species:S:1:pos:R:3 comment="PBE-GGA PrTcAs, relaxed" crystal_system=cubic m_tot_mub_per_atom=0.54 spacegroup="No. 216" final_energy_ev_per_atom=-6.627 e_above_lowest_polymorph_mev_per_atom=0 pbc="T T T"
Pr 1.640 1.640 1.640
Tc 4.919 4.919 4.919
As 0.000 0.000 0.000

***

3
Lattice="0.000 3.404 3.404 3.404 0.000 3.404 3.404 3.404 0.000" Properties=species:S:1:pos:R:3 comment="PBE-GGA PrTcAs, relaxed" crystal_system=cubic m_tot_mub_per_atom=0.65 spacegroup="No. 216" final_energy_ev_per_atom=-5.761 e_above_lowest_polymorph_mev_per_atom=866 pbc="T T T"
Pr 1.702 1.702 1.702
As 3.404 3.404 3.404
Tc 0.000 0.000 0.000